Al3AuF: optimized geometry, PBE.

Calculated values
Its space-group type is Pm-3m (221). The volume is 22.9 Å³/atom. The calculation puts the offset from the most stable computed form at 8 meV/atom.

a b c (Å): 4.8579 4.8579 4.8579
angles (deg): 90.00 90.00 90.00
Fractional coordinates of all 5 atoms:
Au (0.0000, 0.0000, 0.0000)
Al (0.0000, 0.5000, 0.0000)
Al (0.0000, 0.0000, 0.5000)
Al (0.5000, 0.0000, 0.0000)
F (0.5000, 0.5000, 0.5000)